# 1
DFT (PBE-GGA) results for an optimized crystal structure of IrPt.

```
IrPt
1.0
4.5661 -1.3899 0.0000
4.5661 1.3899 0.0000
-0.8380 0.0000 4.7597
Ir Pt
2 2
direct
0.1295 0.1295 0.3854
0.8705 0.8705 0.6146
0.3781 0.3781 0.1269
0.6219 0.6219 0.8731
```

# 2
DFT (PBE-GGA) results for an optimized crystal structure of Ir2Pt.

```
Ir2Pt
1.0
7.5682 0.0000 0.0000
-3.7841 6.5543 0.0000
0.0000 0.0000 2.7353
Ir Pt
6 3
direct
0.0000 0.3057 0.0000
0.0000 0.6406 0.5000
0.3057 0.0000 0.0000
0.3594 0.3594 0.5000
0.6406 0.0000 0.5000
0.6943 0.6943 0.0000
0.0000 0.0000 0.5000
0.3333 0.6667 0.0000
0.6667 0.3333 0.0000
```

Computed properties:
Distance to the lowest polymorph of the same formula ... 203 meV per atom

# 3
DFT (PBE-GGA) results for an optimized crystal structure of IrPt.

```
IrPt
1.0
0.0000 2.8299 2.8299
2.8299 0.0000 2.8299
2.8299 2.8299 0.0000
Ir Pt
1 1
direct
0.0000 0.0000 0.0000
0.7500 0.7500 0.7500
```

# 4
DFT (PBE-GGA) results for an optimized crystal structure of Ir3Pt.

```
Ir3Pt
1.0
4.5663 -1.3785 0.0000
4.5663 1.3785 0.0000
-0.8223 0.0000 4.7108
Ir Pt
3 1
direct
0.0000 0.0000 0.0000
0.2554 0.2554 0.7577
0.7446 0.7446 0.2423
0.5000 0.5000 0.5000
```

# 5
DFT (PBE-GGA) results for an optimized crystal structure of Ir3Pt2.

```
Ir3Pt2
1.0
1.8329 1.0582 7.4896
-1.8329 1.0582 7.4896
0.0000 -2.1164 7.4896
Ir Pt
3 2
direct
0.0000 0.0000 0.0000
0.1970 0.1970 0.1970
0.8030 0.8030 0.8030
0.4003 0.4003 0.4003
0.5997 0.5997 0.5997
```

# 6
DFT (PBE-GGA) results for an optimized crystal structure of Ir2Pt3.

```
Ir2Pt3
1.0
1.8285 1.0557 7.6133
-1.8285 1.0557 7.6133
0.0000 -2.1113 7.6133
Ir Pt
2 3
direct
0.1010 0.1010 0.1010
0.8990 0.8990 0.8990
0.2971 0.2971 0.2971
0.5000 0.5000 0.5000
0.7029 0.7029 0.7029
```

Computed properties:
Distance to the lowest polymorph of the same formula ... 697 meV per atom

# 7
DFT (PBE-GGA) results for an optimized crystal structure of Ir2Pt.

```
Ir2Pt
1.0
5.1529 -1.3730 0.0000
5.1529 1.3730 0.0000
-1.8475 0.0000 6.3568
Ir Pt
4 2
direct
0.0302 0.0302 0.2963
0.3635 0.3635 0.9750
0.6365 0.6365 0.0250
0.9698 0.9698 0.7037
0.3110 0.3110 0.3601
0.6890 0.6890 0.6399
```

Computed properties:
Distance to the lowest polymorph of the same formula ... 89 meV per atom

# 8
DFT (PBE-GGA) results for an optimized crystal structure of IrPt.

```
IrPt
1.0
0.0000 5.5128 6.3168
3.3277 0.0000 6.3168
3.3277 5.5128 0.0000
Ir Pt
4 4
direct
0.0124 0.2376 0.0124
0.2376 0.0124 0.2376
0.7624 0.9876 0.7624
0.9876 0.7624 0.9876
0.0530 0.0530 0.6970
0.3030 0.3030 0.9470
0.6970 0.6970 0.0530
0.9470 0.9470 0.3030
```

no.,DFT formation energy (eV/f.u.),uncorrected energy (eV/atom)
1,0.146,-7.3778
2,0.702,-7.6871
3,2.373,-6.2646
4,0.277,-8.0867
5,4.027,-6.9274
6,3.548,-6.4593
7,0.359,-7.8013
8,2.178,-6.3621